# Ac8SmPb6

Crystalline Ac8SmPb6 at its relaxed geometry (PBE, the Alexandria database).

total magnetic moment: 0.00 μB/f.u.
total DFT energy (no corrections): -4.364 eV per atom

Cell lengths 9.135, 9.135, 9.135 Å; angles 65.92, 65.92, 65.92 degrees
Fractional positions:
1 Ac 0.058 0.397 0.733
2 Ac 0.165 0.165 0.165
3 Ac 0.267 0.942 0.603
4 Ac 0.397 0.733 0.058
5 Ac 0.603 0.267 0.942
6 Ac 0.733 0.058 0.397
7 Ac 0.835 0.835 0.835
8 Ac 0.942 0.603 0.267
9 Sm 0.500 0.500 0.500
10 Pb 0.109 0.758 0.434
11 Pb 0.242 0.566 0.891
12 Pb 0.434 0.109 0.758
13 Pb 0.566 0.891 0.242
14 Pb 0.758 0.434 0.109
15 Pb 0.891 0.242 0.566